Material: AlCo2AgF8
Method: DFT, PBE with a Hubbard U
State: optimized geometry

Calculated values
space group: No. 2
energy: -4.99 eV per atom
spin magnetization: 0.496 μB/atom

Lattice parameters (Å, degrees): 4.777 4.761 6.670 90.26 90.28 87.60
Each line ends with the local moment (μB).
Fractional coordinates of all 12 atoms:
1 Al 0.000 0.000 0.000  0.01
2 Co 0.501 0.501 0.752  2.80
3 Co 0.499 0.499 0.248  2.80
4 Ag 0.000 0.000 0.500  -0.02
5 F 0.197 0.801 0.190  0.02
6 F 0.722 0.725 0.000  0.03
7 F 0.805 0.201 0.190  0.02
8 F 0.803 0.199 0.810  0.02
9 F 0.278 0.275 0.000  0.03
10 F 0.195 0.799 0.810  0.02
11 F 0.667 0.678 0.501  0.06
12 F 0.333 0.322 0.499  0.06